No. 1
Li8Mg3Cd after structural relaxation, computed with PBE.

abc: 7.3161 7.3161 7.3161
angles: 94.45 117.46 117.46
With the nearest neighbours (Å) after each atom.
Positions (direct):
1 Mg 0.5000 0.2500 0.7500  4 Li 2.98
2 Mg 0.0000 0.5000 0.5000  8 Li 2.76-2.95
3 Mg 0.5000 0.7500 0.2500  4 Li 2.98
4 Li 0.5134 0.7395 0.7395  1 Cd 2.62, 1 Mg 2.76, 2 Li 2.78-2.81
5 Li 0.2619 0.3697 0.3697  1 Cd 2.76, 3 Li 2.78-2.81, 3 Mg 2.95-2.98
6 Li 0.0000 0.7738 0.2605  1 Cd 2.62, 1 Mg 2.76, 2 Li 2.78-2.81
7 Li 0.0000 0.6303 0.8922  1 Cd 2.76, 3 Li 2.78-2.81, 3 Mg 2.95-2.98
8 Li 0.7381 0.1078 0.1078  1 Cd 2.76, 3 Li 2.78-2.81, 3 Mg 2.95-2.98
9 Li 0.4866 0.2262 0.2262  1 Cd 2.62, 1 Mg 2.76, 2 Li 2.78-2.81
10 Li 0.0000 0.2605 0.7738  1 Cd 2.62, 1 Mg 2.76, 2 Li 2.78-2.81
11 Li 0.0000 0.8922 0.6303  1 Cd 2.76, 3 Li 2.78-2.81, 3 Mg 2.95-2.98
12 Cd 0.0000 0.0000 0.0000  8 Li 2.62-2.76

Output
M_tot = 0.0 μB per formula unit
Crystal system = tetragonal
Formation energy from the elements = 2.165 eV/f.u.

No. 2
Li8MgCd2 after structural relaxation, computed with PBE.

abc: 5.0340 7.7908 8.1844
angles: 61.58 71.28 47.60
With the nearest neighbours (Å) after each atom.
Positions (direct):
1 Li 0.7880 0.0973 0.2653  5 Li 2.66-2.92
2 Li 0.7361 0.5264 0.0000  2 Li 2.40-2.67
3 Li 0.7880 0.3626 0.7347  5 Li 2.66-2.92
4 Li 0.5000 0.7928 0.4144  4 Li 2.78-2.92, 4 Cd 2.91-3.00, 1 Mg 2.98
5 Li 0.2120 0.6374 0.2653  5 Li 2.66-2.92
6 Li 0.2120 0.9027 0.7347  5 Li 2.66-2.92
7 Li 0.2639 0.4736 0.0000  2 Li 2.40-2.67
8 Li 0.5000 0.2072 0.5856  4 Li 2.78-2.92, 4 Cd 2.91-3.00, 1 Mg 2.98
9 Cd 0.0000 0.6797 0.6407  12 Li 2.85-3.06
10 Cd 0.0000 0.3203 0.3593  12 Li 2.85-3.06
11 Mg 0.5000 0.0000 0.0000  10 Li 2.98-3.32

Output
M_tot = 0.0 μB per formula unit
Crystal system = monoclinic
Formation energy from the elements = -0.868 eV/f.u.
Relative energy among the computed polymorphs = 46.4 meV per atom

No. 3
Li11Mg4Cd9 after structural relaxation, computed with PBE.

abc: 3.2615 12.1636 12.1636
angles: 106.94 90.00 90.00
With the nearest neighbours (Å) after each atom.
Positions (direct):
1 Li 0.0000 0.8014 0.8014  4 Cd 2.81, 1 Li 2.88, 4 Mg 2.98
2 Li 0.0000 0.0444 0.4069  1 Li 2.78, 6 Cd 2.87-3.00, 2 Mg 2.97
3 Li 0.0000 0.1851 0.8149  8 Cd 2.85-2.86
4 Li 0.0000 0.5931 0.9556  1 Li 2.78, 6 Cd 2.87-3.00, 2 Mg 2.97
5 Li 0.0000 0.0000 0.0000  2 Li 2.88, 8 Cd 2.95
6 Li 0.0000 0.9556 0.5931  1 Li 2.78, 6 Cd 2.87-3.00, 2 Mg 2.97
7 Li 0.0000 0.3672 0.6328  6 Cd 2.97-3.07, 4 Mg 3.11, 2 Li 3.26
8 Li 0.0000 0.8149 0.1851  8 Cd 2.85-2.86
9 Li 0.0000 0.6328 0.3672  6 Cd 2.97-3.07, 4 Mg 3.11, 2 Li 3.26
10 Li 0.0000 0.1986 0.1986  4 Cd 2.81, 1 Li 2.88, 4 Mg 2.98
11 Li 0.0000 0.4069 0.0444  1 Li 2.78, 6 Cd 2.87-3.00, 2 Mg 2.97
12 Cd 0.5000 0.9874 0.7942  8 Li 2.81-2.95
13 Cd 0.5000 0.0126 0.2058  8 Li 2.81-2.95
14 Cd 0.5000 0.7942 0.9874  8 Li 2.81-2.95
15 Cd 0.5000 0.6164 0.1590  8 Li 2.85-3.00, 1 Mg 2.99
16 Cd 0.5000 0.3836 0.8410  8 Li 2.85-3.00, 1 Mg 2.99
17 Cd 0.5000 0.5000 0.5000  4 Mg 2.92, 4 Li 3.07, 2 Cd 3.26
18 Cd 0.5000 0.2058 0.0126  8 Li 2.81-2.95
19 Cd 0.5000 0.1590 0.6164  8 Li 2.85-3.00, 1 Mg 2.99
20 Cd 0.5000 0.8410 0.3836  8 Li 2.85-3.00, 1 Mg 2.99
21 Mg 0.5000 0.2496 0.4126  3 Cd 2.92-3.23, 6 Li 2.97-3.11, 3 Mg 3.19-3.26
22 Mg 0.5000 0.7504 0.5874  3 Cd 2.92-3.23, 6 Li 2.97-3.11, 3 Mg 3.19-3.26
23 Mg 0.5000 0.4126 0.2496  3 Cd 2.92-3.23, 6 Li 2.97-3.11, 3 Mg 3.19-3.26
24 Mg 0.5000 0.5874 0.7504  3 Cd 2.92-3.23, 6 Li 2.97-3.11, 3 Mg 3.19-3.26

Output
M_tot = 0.0 μB per formula unit
Crystal system = orthorhombic
Formation energy from the elements = -4.388 eV/f.u.

No. 4
LiMg14Cd after structural relaxation, computed with PBE.

abc: 6.3041 6.3041 10.4199
angles: 90.00 90.00 119.96
With the nearest neighbours (Å) after each atom.
Positions (direct):
1 Mg 0.8334 0.6632 0.5000  2 Li 3.13-3.18, 8 Mg 3.13-3.18, 2 Cd 3.15-3.16
2 Mg 0.1665 0.8335 0.7466  11 Mg 3.15-3.21, 1 Cd 3.15
3 Mg 0.6666 0.8348 0.2553  1 Li 3.13, 1 Cd 3.13, 10 Mg 3.14-3.22
4 Mg 0.6669 0.3331 0.2492  11 Mg 3.14-3.18, 1 Li 3.18
5 Mg 0.6669 0.3331 0.7508  11 Mg 3.14-3.18, 1 Li 3.18
6 Mg 0.6666 0.8348 0.7447  1 Li 3.13, 1 Cd 3.13, 10 Mg 3.14-3.22
7 Mg 0.3317 0.1665 0.0000  12 Mg 3.14-3.22
8 Mg 0.1652 0.3334 0.7447  1 Li 3.13, 1 Cd 3.13, 10 Mg 3.14-3.22
9 Mg 0.3368 0.1666 0.5000  2 Li 3.13-3.18, 8 Mg 3.13-3.18, 2 Cd 3.15-3.16
10 Mg 0.3332 0.6667 0.0000  12 Mg 3.15-3.22
11 Mg 0.8335 0.6683 0.0000  12 Mg 3.14-3.22
12 Mg 0.1665 0.8335 0.2534  11 Mg 3.15-3.21, 1 Cd 3.15
13 Mg 0.8338 0.1662 0.0000  12 Mg 3.14-3.22
14 Mg 0.1652 0.3334 0.2553  1 Li 3.13, 1 Cd 3.13, 10 Mg 3.14-3.22
15 Li 0.8330 0.1670 0.5000  10 Mg 3.13-3.18, 2 Cd 3.15
16 Cd 0.3341 0.6659 0.5000  10 Mg 3.13-3.16, 2 Li 3.15

Output
M_tot = 0.0 μB per formula unit
Crystal system = orthorhombic
Formation energy from the elements = -0.582 eV/f.u.
Relative energy among the computed polymorphs = 0.0 meV per atom

No. 5
Li15Mg4Cd after structural relaxation, computed with PBE.

abc: 4.2137 4.2137 22.2102
angles: 90.00 90.00 90.00
With the nearest neighbours (Å) after each atom.
Positions (direct):
1 Li 0.5000 0.0000 0.0947  8 Li 2.98-3.08, 2 Cd 2.98, 2 Mg 3.08
2 Li 0.5000 0.0000 0.7028  8 Li 2.98-3.08, 4 Mg 3.08
3 Li 0.5000 0.5000 0.0000  8 Li 2.98, 4 Cd 2.98
4 Li 0.0000 0.5000 0.2972  8 Li 2.98-3.08, 4 Mg 3.08
5 Li 0.5000 0.0000 0.2972  8 Li 2.98-3.08, 4 Mg 3.08
6 Li 0.5000 0.0000 0.5000  8 Li 2.98-3.09, 4 Mg 3.08
7 Li 0.5000 0.5000 0.6015  4 Mg 2.98, 8 Li 3.08-3.09
8 Li 0.5000 0.5000 0.3985  4 Mg 2.98, 8 Li 3.08-3.09
9 Li 0.5000 0.0000 0.9053  8 Li 2.98-3.08, 2 Cd 2.98, 2 Mg 3.08
10 Li 0.0000 0.5000 0.7028  8 Li 2.98-3.08, 4 Mg 3.08
11 Li 0.0000 0.5000 0.0947  2 Cd 2.98, 8 Li 2.98-3.08, 2 Mg 3.08
12 Li 0.5000 0.5000 0.1960  4 Mg 2.98, 8 Li 3.08
13 Li 0.5000 0.5000 0.8040  4 Mg 2.98, 8 Li 3.08
14 Li 0.0000 0.5000 0.9053  2 Cd 2.98, 8 Li 2.98-3.08, 2 Mg 3.08
15 Li 0.0000 0.5000 0.5000  8 Li 2.98-3.09, 4 Mg 3.08
16 Mg 0.0000 0.0000 0.6014  12 Li 2.98-3.08
17 Mg 0.0000 0.0000 0.8039  12 Li 2.98-3.08
18 Mg 0.0000 0.0000 0.1961  12 Li 2.98-3.08
19 Mg 0.0000 0.0000 0.3986  12 Li 2.98-3.08
20 Cd 0.0000 0.0000 0.0000  12 Li 2.98

Output
M_tot = 0.0 μB per formula unit
Crystal system = tetragonal
Formation energy from the elements = -1.091 eV/f.u.

No. 6
Li2Mg2Cd7 after structural relaxation, computed with PBE.

abc: 4.8429 8.1115 7.6375
angles: 122.08 108.48 90.00
With the nearest neighbours (Å) after each atom.
Positions (direct):
1 Li 0.5000 0.2199 0.0000  7 Cd 2.86-3.07, 2 Mg 2.92
2 Li 0.0000 0.6606 0.0000  10 Cd 2.94-3.05, 2 Mg 3.11
3 Cd 0.5000 0.8670 0.0000  3 Li 2.86-2.94, 6 Cd 3.01
4 Cd 0.3728 0.4198 0.7455  5 Cd 2.92-3.05, 3 Li 3.01-3.06, 2 Mg 3.06
5 Cd 0.1244 0.1136 0.2487  5 Cd 2.89-3.02, 3 Mg 3.04-3.16, 1 Li 3.05
6 Cd 0.8756 0.8649 0.7513  5 Cd 2.89-3.02, 3 Mg 3.04-3.16, 1 Li 3.05
7 Cd 0.6272 0.6742 0.2545  5 Cd 2.92-3.05, 3 Li 3.01-3.06, 2 Mg 3.06
8 Cd 0.8670 0.2122 0.7340  4 Cd 2.89-3.19, 3 Li 3.02-3.07, 3 Mg 3.05-3.09
9 Cd 0.1330 0.4783 0.2660  4 Cd 2.89-3.19, 3 Li 3.02-3.07, 3 Mg 3.05-3.09
10 Mg 0.2590 0.9307 0.5181  2 Li 2.92-3.11, 8 Cd 3.04-3.16
11 Mg 0.7410 0.4127 0.4819  2 Li 2.92-3.11, 8 Cd 3.04-3.16

Output
M_tot = 0.0 μB per formula unit
Crystal system = orthorhombic
Formation energy from the elements = -1.288 eV/f.u.
Relative energy among the computed polymorphs = 0.0 meV per atom

No. 7
Li6MgCd2 after structural relaxation, computed with PBE.

abc: 2.9007 8.4779 8.4779
angles: 58.11 80.15 80.15
With the nearest neighbours (Å) after each atom.
Positions (direct):
1 Li 0.8310 0.8436 0.4943  6 Li 2.78-3.03, 3 Cd 2.93-3.05
2 Li 0.1690 0.1564 0.5057  6 Li 2.78-3.03, 3 Cd 2.93-3.05
3 Li 0.1690 0.5057 0.1564  6 Li 2.78-3.03, 3 Cd 2.93-3.05
4 Li 0.8310 0.4943 0.8436  6 Li 2.78-3.03, 3 Cd 2.93-3.05
5 Li 0.0000 0.1663 0.8337  5 Li 2.74-2.90, 4 Cd 3.01
6 Li 0.0000 0.8337 0.1663  5 Li 2.74-2.90, 4 Cd 3.01
7 Cd 0.6551 0.8449 0.8449  2 Cd 2.90, 10 Li 2.93-3.05
8 Cd 0.3449 0.1551 0.1551  2 Cd 2.90, 10 Li 2.93-3.05
9 Mg 0.5000 0.5000 0.5000  2 Mg 2.90, 12 Li 3.11-3.19

Output
M_tot = 0.0 μB per formula unit
Crystal system = orthorhombic
Formation energy from the elements = -1.128 eV/f.u.
Relative energy among the computed polymorphs = 0.0 meV per atom

No. 8
Li3Mg4Cd4 after structural relaxation, computed with PBE.

abc: 3.3527 3.7089 17.9368
angles: 95.77 95.26 90.01
With the nearest neighbours (Å) after each atom.
Positions (direct):
1 Cd 0.8219 0.8246 0.6476  4 Li 2.87-2.88, 5 Mg 3.02-3.08
2 Cd 0.5427 0.5430 0.0861  4 Li 2.93, 4 Mg 2.99-3.00, 1 Cd 3.06
3 Cd 0.1780 0.1755 0.3524  4 Li 2.87-2.88, 5 Mg 3.02-3.08
4 Cd 0.4573 0.4570 0.9139  4 Li 2.93, 4 Mg 2.99-3.00, 1 Cd 3.06
5 Mg 0.0892 0.0887 0.1790  5 Cd 2.99-3.08, 5 Li 2.99-3.18
6 Mg 0.7248 0.7235 0.4478  4 Cd 3.02, 6 Mg 3.11-3.35, 1 Li 3.11
7 Mg 0.9107 0.9113 0.8210  5 Cd 2.99-3.08, 5 Li 2.99-3.18
8 Mg 0.2752 0.2765 0.5522  4 Cd 3.02, 6 Mg 3.11-3.35, 1 Li 3.11
9 Li 0.0000 0.0000 0.0000  8 Cd 2.93, 2 Mg 3.18
10 Li 0.6376 0.6358 0.2726  4 Cd 2.87-2.88, 5 Mg 2.99-3.11
11 Li 0.3623 0.3643 0.7274  4 Cd 2.87-2.88, 5 Mg 2.99-3.11

Output
M_tot = 0.0 μB per formula unit
Crystal system = triclinic
Formation energy from the elements = -1.856 eV/f.u.

No. 9
Li6Mg2Cd after structural relaxation, computed with PBE.

abc: 5.6163 5.6162 5.6162
angles: 95.32 95.31 95.31
With the nearest neighbours (Å) after each atom.
Positions (direct):
1 Li 0.8355 0.1647 0.4999  5 Li 2.73-2.93
2 Li 0.1645 0.5001 0.8353  5 Li 2.73-2.93
3 Li 0.5000 0.8353 0.1647  5 Li 2.73-2.93
4 Li 0.8355 0.4999 0.1647  5 Li 2.73-2.93
5 Li 0.1645 0.8353 0.5001  5 Li 2.73-2.93
6 Li 0.5000 0.1647 0.8353  5 Li 2.73-2.93
7 Mg 0.3306 0.3304 0.3304  1 Cd 2.90, 1 Mg 2.98, 12 Li 3.11-3.16
8 Mg 0.6694 0.6696 0.6696  1 Cd 2.90, 1 Mg 2.98, 12 Li 3.11-3.16
9 Cd 0.0000 0.0000 0.0000  2 Mg 2.90, 12 Li 3.12

Output
M_tot = 0.0 μB per formula unit
Crystal system = trigonal
Formation energy from the elements = -0.883 eV/f.u.
Relative energy among the computed polymorphs = 0.0 meV per atom

No. 10
Li3Mg8Cd2 after structural relaxation, computed with PBE.

abc: 5.8491 5.8491 10.8517
angles: 74.37 74.37 60.00
With the nearest neighbours (Å) after each atom.
Positions (direct):
1 Mg 0.2762 0.2762 0.1715  1 Li 2.73, 1 Cd 2.81
2 Mg 0.2199 0.7180 0.3442  3 Li 2.83-3.07, 4 Mg 2.91-2.94, 1 Cd 3.02
3 Mg 0.2820 0.2820 0.6558  3 Li 2.83-3.07, 4 Mg 2.91-2.94, 1 Cd 3.02
4 Mg 0.7180 0.2199 0.3442  3 Li 2.83-3.07, 4 Mg 2.91-2.94, 1 Cd 3.02
5 Mg 0.7801 0.2820 0.6558  3 Li 2.83-3.07, 4 Mg 2.91-2.94, 1 Cd 3.02
6 Mg 0.7238 0.7238 0.8285  1 Li 2.73, 1 Cd 2.81
7 Mg 0.2820 0.7801 0.6558  3 Li 2.83-3.07, 4 Mg 2.91-2.94, 1 Cd 3.02
8 Mg 0.7180 0.7180 0.3442  3 Li 2.83-3.07, 4 Mg 2.91-2.94, 1 Cd 3.02
9 Li 0.8120 0.8120 0.5640  4 Mg 2.73-2.83
10 Li 0.1880 0.1880 0.4360  4 Mg 2.73-2.83
11 Li 0.0000 0.0000 0.0000  6 Cd 3.53, 12 Mg 3.81-3.93
12 Cd 0.3671 0.3671 0.8988  4 Mg 2.81-3.02
13 Cd 0.6329 0.6329 0.1012  4 Mg 2.81-3.02

Output
M_tot = 0.0 μB per formula unit
Crystal system = trigonal
Formation energy from the elements = 0.620 eV/f.u.
Relative energy among the computed polymorphs = 74.9 meV per atom